## UHgIrO6 (PBE)

Data for UHgIrO6 after structural relaxation.

Cell and atoms, written as CIF:
```
data_UHgIrO6
_chemical_formula_sum 'U4 Hg4 Ir4 O24'
_cell_length_a 7.2352
_cell_length_b 7.8688
_cell_length_c 10.8886
_cell_angle_alpha 90.00
_cell_angle_beta 90.00
_cell_angle_gamma 90.00
_space_group_name_H-M_alt 'I m m a'
_space_group_IT_number 74
_space_group_name_Hall '-I 2b 2'
loop_
_atom_site_label
_atom_site_type_symbol
_atom_site_fract_x
_atom_site_fract_y
_atom_site_fract_z
U1 U 0.0000 0.0000 0.0000
Hg1 Hg 0.0000 0.2500 0.4542
Ir1 Ir 0.2500 0.2500 0.7500
O1 O 0.0000 0.2500 0.0678
O2 O 0.0000 0.2500 0.6935
O3 O 0.1999 0.0767 0.8744
```

The calculation puts the total moment at 0.00 μB per cell. The calculation puts the uncorrected energy at -7.12 eV/atom. The energy relative to the elements, uncorrected comes out at -1341 kJ/mol of formula units.